one.
! PBEsol TcSb2Mo, relaxed; values from VASP
! **ρ**: 10.14 g/cm3
! **SG**: C2/m (12)
&SYSTEM
  ibrav = 0, nat = 4, ntyp = 3
/
ATOMIC_SPECIES
Tc 98.00 Tc.upf
Sb 121.76 Sb.upf
Mo 95.94 Mo.upf
CELL_PARAMETERS angstrom
4.241 -1.569 0.000
4.241 1.569 0.000
-1.165 0.000 5.382
ATOMIC_POSITIONS crystal
Tc 0.000 0.000 0.000
Sb 0.252 0.252 0.754
Sb 0.748 0.748 0.246
Mo 0.500 0.500 0.500

two.
! PBEsol TcSb2Mo, relaxed; values from VASP
! **ρ**: 10.30 g/cm3
! **SG**: Cm (8)
&SYSTEM
  ibrav = 0, nat = 4, ntyp = 3
/
ATOMIC_SPECIES
Tc 98.00 Tc.upf
Sb 121.76 Sb.upf
Mo 95.94 Mo.upf
CELL_PARAMETERS angstrom
4.743 -1.627 0.000
4.743 1.627 0.000
-1.451 0.000 4.572
ATOMIC_POSITIONS crystal
Tc 0.000 0.000 0.000
Sb 0.257 0.257 0.869
Sb 0.487 0.487 0.504
Mo 0.742 0.742 0.369

three.
! PBEsol TcSb2Mo, relaxed; values from VASP
! **ρ**: 9.86 g/cm3
! **SG**: Pmmm (47)
&SYSTEM
  ibrav = 0, nat = 4, ntyp = 3
/
ATOMIC_SPECIES
Tc 98.00 Tc.upf
Sb 121.76 Sb.upf
Mo 95.94 Mo.upf
CELL_PARAMETERS angstrom
3.296 0.000 0.000
0.000 4.213 0.000
0.000 0.000 5.307
ATOMIC_POSITIONS crystal
Tc 0.000 0.000 0.000
Sb 0.000 0.500 0.500
Sb 0.500 0.500 0.000
Mo 0.500 0.000 0.500

It is three that is the least stable of them.

one.
! PBEsol TcSbMo, relaxed; values from VASP
! **ρ**: 9.34 g/cm3
! **SG**: F-43m (216)
&SYSTEM
  ibrav = 0, nat = 3, ntyp = 3
/
ATOMIC_SPECIES
Tc 98.00 Tc.upf
Sb 121.76 Sb.upf
Mo 95.94 Mo.upf
CELL_PARAMETERS angstrom
0.000 3.039 3.039
3.039 0.000 3.039
3.039 3.039 0.000
ATOMIC_POSITIONS crystal
Tc 0.000 0.000 0.000
Sb 0.250 0.250 0.250
Mo 0.750 0.750 0.750

two.
! PBEsol TcSbMo, relaxed; values from VASP
! **ρ**: 9.20 g/cm3
! **SG**: F-43m (216)
&SYSTEM
  ibrav = 0, nat = 3, ntyp = 3
/
ATOMIC_SPECIES
Tc 98.00 Tc.upf
Sb 121.76 Sb.upf
Mo 95.94 Mo.upf
CELL_PARAMETERS angstrom
0.000 3.054 3.054
3.054 0.000 3.054
3.054 3.054 0.000
ATOMIC_POSITIONS crystal
Tc 0.000 0.000 0.000
Sb 0.500 0.500 0.500
Mo 0.750 0.750 0.750

It is two that is the least stable of them.

one.
! PBEsol YSbMo, relaxed; values from VASP
! **ρ**: 7.21 g/cm3
! **SG**: F-43m (216)
&SYSTEM
  ibrav = 0, nat = 3, ntyp = 3
/
ATOMIC_SPECIES
Y 88.91 Y.upf
Sb 121.76 Sb.upf
Mo 95.94 Mo.upf
CELL_PARAMETERS angstrom
0.000 3.281 3.281
3.281 0.000 3.281
3.281 3.281 0.000
ATOMIC_POSITIONS crystal
Y 0.000 0.000 0.000
Sb 0.500 0.500 0.500
Mo 0.750 0.750 0.750

two.
! PBEsol YSbMo, relaxed; values from VASP
! **ρ**: 7.63 g/cm3
! **SG**: P-6m2 (187)
&SYSTEM
  ibrav = 0, nat = 3, ntyp = 3
/
ATOMIC_SPECIES
Y 88.91 Y.upf
Sb 121.76 Sb.upf
Mo 95.94 Mo.upf
CELL_PARAMETERS angstrom
4.608 0.000 0.000
-2.304 3.990 0.000
0.000 0.000 3.628
ATOMIC_POSITIONS crystal
Y 0.000 0.000 0.000
Sb 0.667 0.333 0.500
Mo 0.333 0.667 0.500

It is one that is the least stable of them.

one.
! PBEsol YSb2Mo, relaxed; values from VASP
! **ρ**: 8.13 g/cm3
! **SG**: I-4m2 (119)
&SYSTEM
  ibrav = 0, nat = 4, ntyp = 3
/
ATOMIC_SPECIES
Y 88.91 Y.upf
Sb 121.76 Sb.upf
Mo 95.94 Mo.upf
CELL_PARAMETERS angstrom
-2.127 2.127 4.832
2.127 -2.127 4.832
2.127 2.127 -4.832
ATOMIC_POSITIONS crystal
Y 0.000 0.000 0.000
Sb 0.250 0.750 0.500
Sb 0.500 0.500 0.000
Mo 0.750 0.250 0.500

two.
! PBEsol YSb2Mo, relaxed; values from VASP
! **ρ**: 7.58 g/cm3
! **SG**: R3m (160)
&SYSTEM
  ibrav = 0, nat = 4, ntyp = 3
/
ATOMIC_SPECIES
Y 88.91 Y.upf
Sb 121.76 Sb.upf
Mo 95.94 Mo.upf
CELL_PARAMETERS angstrom
1.712 0.989 9.241
-1.712 0.989 9.241
0.000 -1.977 9.241
ATOMIC_POSITIONS crystal
Y 0.000 0.000 0.000
Sb 0.521 0.521 0.521
Sb 0.758 0.758 0.758
Mo 0.254 0.254 0.254

It is two that is the least stable of them.

one.
! PBEsol ZrSb2Mo, relaxed; values from VASP
! **ρ**: 8.24 g/cm3
! **SG**: R3m (160)
&SYSTEM
  ibrav = 0, nat = 4, ntyp = 3
/
ATOMIC_SPECIES
Zr 91.22 Zr.upf
Sb 121.76 Sb.upf
Mo 95.94 Mo.upf
CELL_PARAMETERS angstrom
1.679 0.970 8.883
-1.679 0.970 8.883
0.000 -1.939 8.883
ATOMIC_POSITIONS crystal
Zr 0.000 0.000 0.000
Sb 0.247 0.247 0.247
Sb 0.480 0.480 0.480
Mo 0.742 0.742 0.742

two.
! PBEsol ZrSb2Mo, relaxed; values from VASP
! **ρ**: 8.75 g/cm3
! **SG**: Immm (71)
&SYSTEM
  ibrav = 0, nat = 4, ntyp = 3
/
ATOMIC_SPECIES
Zr 91.22 Zr.upf
Sb 121.76 Sb.upf
Mo 95.94 Mo.upf
CELL_PARAMETERS angstrom
-1.797 2.601 4.371
1.797 -2.601 4.371
1.797 2.601 -4.371
ATOMIC_POSITIONS crystal
Zr 0.000 0.000 0.000
Sb 0.265 0.765 0.500
Sb 0.735 0.235 0.500
Mo 0.500 0.500 0.000

three.
! PBEsol ZrSb2Mo, relaxed; values from VASP
! **ρ**: 8.80 g/cm3
! **SG**: F-43m (216)
&SYSTEM
  ibrav = 0, nat = 4, ntyp = 3
/
ATOMIC_SPECIES
Zr 91.22 Zr.upf
Sb 121.76 Sb.upf
Mo 95.94 Mo.upf
CELL_PARAMETERS angstrom
0.000 3.438 3.438
3.438 0.000 3.438
3.438 3.438 0.000
ATOMIC_POSITIONS crystal
Zr 0.000 0.000 0.000
Sb 0.250 0.250 0.250
Sb 0.500 0.500 0.500
Mo 0.750 0.750 0.750

It is three that is the least stable of them.

one.
! PBEsol Sc2MoSe, relaxed; values from VASP
! **ρ**: 5.85 g/cm3
! **SG**: P4mm (99)
&SYSTEM
  ibrav = 0, nat = 4, ntyp = 3
/
ATOMIC_SPECIES
Sc 44.96 Sc.upf
Mo 95.94 Mo.upf
Se 78.96 Se.upf
CELL_PARAMETERS angstrom
3.622 0.000 0.000
0.000 3.622 0.000
0.000 0.000 5.734
ATOMIC_POSITIONS crystal
Sc 0.000 0.000 0.000
Sc 0.500 0.500 0.320
Mo 0.500 0.500 0.841
Se 0.000 0.000 0.496

two.
! PBEsol Sc2MoSe, relaxed; values from VASP
! **ρ**: 6.48 g/cm3
! **SG**: F-43m (216)
&SYSTEM
  ibrav = 0, nat = 4, ntyp = 3
/
ATOMIC_SPECIES
Sc 44.96 Sc.upf
Mo 95.94 Mo.upf
Se 78.96 Se.upf
CELL_PARAMETERS angstrom
0.000 3.238 3.238
3.238 0.000 3.238
3.238 3.238 0.000
ATOMIC_POSITIONS crystal
Sc 0.000 0.000 0.000
Sc 0.250 0.250 0.250
Mo 0.500 0.500 0.500
Se 0.750 0.750 0.750

It is two that is the least stable of them.

one.
! PBEsol Sc2TaMo, relaxed; values from VASP
! **ρ**: 8.24 g/cm3
! **SG**: P4/mmm (123)
&SYSTEM
  ibrav = 0, nat = 4, ntyp = 3
/
ATOMIC_SPECIES
Sc 44.96 Sc.upf
Ta 180.95 Ta.upf
Mo 95.94 Mo.upf
CELL_PARAMETERS angstrom
3.934 0.000 0.000
0.000 3.934 0.000
0.000 0.000 4.776
ATOMIC_POSITIONS crystal
Sc 0.000 0.500 0.000
Sc 0.500 0.000 0.000
Ta 0.000 0.000 0.500
Mo 0.500 0.500 0.500

two.
! PBEsol Sc2TaMo, relaxed; values from VASP
! **ρ**: 7.92 g/cm3
! **SG**: Imm2 (44)
&SYSTEM
  ibrav = 0, nat = 4, ntyp = 3
/
ATOMIC_SPECIES
Sc 44.96 Sc.upf
Ta 180.95 Ta.upf
Mo 95.94 Mo.upf
CELL_PARAMETERS angstrom
-1.681 2.449 4.669
1.681 -2.449 4.669
1.681 2.449 -4.669
ATOMIC_POSITIONS crystal
Sc 0.000 0.000 0.000
Sc 0.720 0.220 0.500
Ta 0.276 0.776 0.500
Mo 0.474 0.474 0.000

It is one that is the least stable of them.

one.
! PBEsol ScTc2Mo, relaxed; values from VASP
! **ρ**: 9.04 g/cm3
! **SG**: P4/mmm (123)
&SYSTEM
  ibrav = 0, nat = 4, ntyp = 3
/
ATOMIC_SPECIES
Sc 44.96 Sc.upf
Tc 98.00 Tc.upf
Mo 95.94 Mo.upf
CELL_PARAMETERS angstrom
3.113 0.000 0.000
0.000 3.113 0.000
0.000 0.000 6.384
ATOMIC_POSITIONS crystal
Sc 0.000 0.000 0.000
Tc 0.500 0.500 0.268
Tc 0.500 0.500 0.732
Mo 0.000 0.000 0.500

two.
! PBEsol ScTc2Mo, relaxed; values from VASP
! **ρ**: 9.23 g/cm3
! **SG**: F-43m (216)
&SYSTEM
  ibrav = 0, nat = 4, ntyp = 3
/
ATOMIC_SPECIES
Sc 44.96 Sc.upf
Tc 98.00 Tc.upf
Mo 95.94 Mo.upf
CELL_PARAMETERS angstrom
0.000 3.117 3.117
3.117 0.000 3.117
3.117 3.117 0.000
ATOMIC_POSITIONS crystal
Sc 0.000 0.000 0.000
Tc 0.500 0.500 0.500
Tc 0.750 0.750 0.750
Mo 0.250 0.250 0.250

It is two that is the least stable of them.